A geometry-optimized NdTmAl structure. Source: Alexandria via LeMat-Bulk, functional PBE.

Cell: 7.205 7.205 7.205 Å, 90.00 90.00 90.00°
Space group F-43m (No. 216)
Unique sites:
1 Nd 0.000 0.000 0.000
2 Tm 0.000 0.000 0.500
3 Al 0.250 0.250 0.750

Computed properties:
- E: -0.3190 Ry/atom
- DOS(E_F): 1.65 states/eV/atom
- Formation energy from the elements: -0.01 eV/atom
- Total magnetization: 0.00 μB/f.u.

---

A geometry-optimized NdTm3Al8 structure. Source: Alexandria via LeMat-Bulk, functional PBE.

Cell: 5.5499 5.5499 9.1056 Å, 90.00 90.00 120.00°
Space group P3m1 (No. 156)
Unique sites:
1 Nd 0.0000 0.0000 0.0000
2 Tm 0.0000 0.0000 0.3650
3 Tm 0.6667 0.3333 0.4983
4 Tm 0.6667 0.3333 0.8623
5 Al 0.1621 0.3243 0.6791
6 Al 0.3333 0.6667 0.4341
7 Al 0.3333 0.6667 0.9303
8 Al 0.5045 0.0090 0.1865

Computed properties:
- E: -0.3304 Ry/atom
- DOS(E_F): 0.48 states/eV/atom
- Formation energy from the elements: -0.49 eV/atom
- Total magnetization: 0.00 μB/f.u.

---

A geometry-optimized NdTmAl2 structure. Source: Alexandria via LeMat-Bulk, functional PBE.

Cell: 7.287 7.287 7.287 Å, 90.00 90.00 90.00°
Space group Fm-3m (No. 225)
Unique sites:
1 Nd 0.000 0.000 0.000
2 Tm 0.000 0.000 0.500
3 Al 0.250 0.250 0.250

Computed properties:
- E: -0.3338 Ry/atom
- DOS(E_F): 0.44 states/eV/atom
- Formation energy from the elements: -0.36 eV/atom
- Total magnetization: 0.00 μB/f.u.

---

What did the second record say?
A geometry-optimized NdTm3Al8 structure. Source: Alexandria via LeMat-Bulk, functional PBE.

Cell: 5.5499 5.5499 9.1056 Å, 90.00 90.00 120.00°
Space group P3m1 (No. 156)
Unique sites:
1 Nd 0.0000 0.0000 0.0000
2 Tm 0.0000 0.0000 0.3650
3 Tm 0.6667 0.3333 0.4983
4 Tm 0.6667 0.3333 0.8623
5 Al 0.1621 0.3243 0.6791
6 Al 0.3333 0.6667 0.4341
7 Al 0.3333 0.6667 0.9303
8 Al 0.5045 0.0090 0.1865

Computed properties:
- E: -0.3304 Ry/atom
- DOS(E_F): 0.48 states/eV/atom
- Formation energy from the elements: -0.49 eV/atom
- Total magnetization: 0.00 μB/f.u.

---

Which value of total magnetization does entry 2 give?
0.00 μB/f.u.